Record 1
First-principles (GGA-PBEsol) data for a geometry-optimized Zr2TeAu structure, as listed in Alexandria via LeMat-Bulk.

```
Zr2TeAu
1.0
-0.574 -3.049 1.447
2.361 -2.469 -0.217
4.361 1.088 8.074
Te Zr Au
1 2 1
direct
0.253 0.253 0.242
0.754 0.754 0.738
0.999 0.999 0.004
0.495 0.495 0.516
```

Properties
Density (g/cm³): 9.19
Energy relative to the elements, uncorrected (kcal/mol of atoms): -6.26



Record 2
First-principles (GGA-PBEsol) data for a geometry-optimized CsReI2O structure, as listed in Alexandria via LeMat-Bulk.

```
CsReI2O
1.0
-0.862 -3.305 -1.708
5.699 -1.467 -0.036
-0.626 -2.557 5.263
O Re Cs I
1 1 1 2
direct
0.500 0.000 0.000
0.000 0.000 0.000
0.500 0.500 0.500
0.000 0.500 0.000
0.000 0.000 0.500
```

Properties
Density (g/cm³): 7.39
Energy relative to the elements, uncorrected (kcal/mol of atoms): -12.09